# TbScSb2O8 GGA-PBE relaxed
# * formation energy from raw total energies: -2268 meV/atom
# * magnetization: 0.0 μB/cell
# * calculated volume: 147.2 Å³/cell
# * symmetry: I-4, No. 82
# * E_tot: -86.1 eV per cell
data_TbScSb2O8
_space_group_name_H-M_alt 'P 1'
_space_group_IT_number 1
_cell_length_a 5.170
_cell_length_b 5.170
_cell_length_c 6.609
_cell_angle_alpha 113.02
_cell_angle_beta 113.02
_cell_angle_gamma 90.00
loop_
_space_group_symop_operation_xyz
'x,y,z'
loop_
_atom_site_label
_atom_site_fract_x
_atom_site_fract_y
_atom_site_fract_z
O1 0.786 0.844 0.174
O2 0.670 0.214 0.826
O3 0.388 0.330 0.174
O4 0.156 0.612 0.826
O5 0.599 0.658 0.687
O6 0.088 0.029 0.687
O7 0.971 0.401 0.313
O8 0.342 0.912 0.313
Tb1 0.750 0.250 0.500
Sc1 0.000 0.000 0.000
Sb1 0.250 0.750 0.500
Sb2 0.500 0.500 0.000

# ScSbTe2O GGA-PBE relaxed
# * formation energy from raw total energies: -331 meV/atom
# * magnetization: 0.0 μB/cell
# * calculated volume: 112.3 Å³/cell
# * energy above the most stable polymorph in this dataset: 0 meV/atom
# * symmetry: P4/mmm, No. 123
# * E_tot: -23.3 eV per cell
data_ScSbTe2O
_space_group_name_H-M_alt 'P 1'
_space_group_IT_number 1
_cell_length_a 4.890
_cell_length_b 4.890
_cell_length_c 4.696
_cell_angle_alpha 90.00
_cell_angle_beta 90.00
_cell_angle_gamma 90.00
loop_
_space_group_symop_operation_xyz
'x,y,z'
loop_
_atom_site_label
_atom_site_fract_x
_atom_site_fract_y
_atom_site_fract_z
O1 0.000 0.000 0.000
Sb1 0.000 0.000 0.500
Te1 0.000 0.500 0.000
Te2 0.500 0.000 0.000
Sc1 0.500 0.500 0.500

# ScSbTe2O GGA-PBE relaxed
# * formation energy from raw total energies: 493 meV/atom
# * magnetization: 0.0 μB/cell
# * calculated volume: 159.0 Å³/cell
# * energy above the most stable polymorph in this dataset: 824 meV/atom
# * symmetry: P4/mmm, No. 123
# * E_tot: -19.2 eV per cell
data_ScSbTe2O
_space_group_name_H-M_alt 'P 1'
_space_group_IT_number 1
_cell_length_a 5.369
_cell_length_b 5.369
_cell_length_c 5.518
_cell_angle_alpha 90.00
_cell_angle_beta 90.00
_cell_angle_gamma 90.00
loop_
_space_group_symop_operation_xyz
'x,y,z'
loop_
_atom_site_label
_atom_site_fract_x
_atom_site_fract_y
_atom_site_fract_z
Te1 0.500 0.000 0.000
Te2 0.000 0.500 0.000
O1 0.500 0.500 0.500
Sb1 0.000 0.000 0.500
Sc1 0.000 0.000 0.000

# ScTi2SbO GGA-PBE relaxed
# * formation energy from raw total energies: -1271 meV/atom
# * magnetization: 0.0 μB/cell
# * calculated volume: 79.4 Å³/cell
# * symmetry: P4/mmm, No. 123
# * E_tot: -37.6 eV per cell
data_ScTi2SbO
_space_group_name_H-M_alt 'P 1'
_space_group_IT_number 1
_cell_length_a 4.135
_cell_length_b 4.135
_cell_length_c 4.642
_cell_angle_alpha 90.00
_cell_angle_beta 90.00
_cell_angle_gamma 90.00
loop_
_space_group_symop_operation_xyz
'x,y,z'
loop_
_atom_site_label
_atom_site_fract_x
_atom_site_fract_y
_atom_site_fract_z
Ti1 0.000 0.500 0.000
Ti2 0.500 0.000 0.000
O1 0.000 0.000 0.000
Sc1 0.000 0.000 0.500
Sb1 0.500 0.500 0.500

Please write out number 3 again, unchanged.
# ScSbTe2O GGA-PBE relaxed
# * formation energy from raw total energies: 493 meV/atom
# * magnetization: 0.0 μB/cell
# * calculated volume: 159.0 Å³/cell
# * energy above the most stable polymorph in this dataset: 824 meV/atom
# * symmetry: P4/mmm, No. 123
# * E_tot: -19.2 eV per cell
data_ScSbTe2O
_space_group_name_H-M_alt 'P 1'
_space_group_IT_number 1
_cell_length_a 5.369
_cell_length_b 5.369
_cell_length_c 5.518
_cell_angle_alpha 90.00
_cell_angle_beta 90.00
_cell_angle_gamma 90.00
loop_
_space_group_symop_operation_xyz
'x,y,z'
loop_
_atom_site_label
_atom_site_fract_x
_atom_site_fract_y
_atom_site_fract_z
Te1 0.500 0.000 0.000
Te2 0.000 0.500 0.000
O1 0.500 0.500 0.500
Sb1 0.000 0.000 0.500
Sc1 0.000 0.000 0.000

What is the magnetization in the first record?
0.0 μB/cell